1.
Crystalline LaRe2Os at its relaxed geometry, computed with PBE-GGA.

Lattice parameters (Å, degrees): 2.812 3.739 7.258 90.00 90.22 90.00
Sites, in units of the cell vectors:
La  0.000  0.000  0.000
Re  0.497  0.500  0.319
Re  0.503  0.500  0.681
Os  0.000  0.000  0.500

Calculated values
The total magnetization is 0.00 μB/f.u. For the density of states at the Fermi level, the calculation gives 1.229 states/eV per atom. Its formation energy is 0.4644 eV/atom.

---

2.
Crystalline LaRe2Os at its relaxed geometry, computed with PBE-GGA.

Lattice parameters (Å, degrees): 4.701 4.701 4.701 121.61 121.61 87.24
Sites, in units of the cell vectors:
La  0.000  0.000  0.000
Re  0.500  0.500  0.000
Re  0.750  0.250  0.500
Os  0.250  0.750  0.500

Calculated values
The total magnetization is 0.00 μB/f.u. For the density of states at the Fermi level, the calculation gives 1.251 states/eV per atom. Its formation energy is 0.7322 eV/atom.

---

3.
Crystalline LaRe2Os at its relaxed geometry, computed with PBE-GGA.

Lattice parameters (Å, degrees): 3.139 4.712 4.897 90.00 90.00 90.00
Sites, in units of the cell vectors:
La  0.000  0.000  0.000
Re  0.000  0.500  0.500
Re  0.500  0.000  0.500
Os  0.500  0.500  0.000

Calculated values
The total magnetization is 0.00 μB/f.u. For the density of states at the Fermi level, the calculation gives 1.308 states/eV per atom. Its formation energy is 0.7724 eV/atom.

---

4.
Crystalline La2ReOs at its relaxed geometry, computed with PBE-GGA.

Lattice parameters (Å, degrees): 5.641 5.641 5.641 136.73 125.44 72.06
Sites, in units of the cell vectors:
La  0.000  0.000  0.000
La  0.697  0.197  0.500
Re  0.413  0.413  0.000
Os  0.283  0.783  0.500

Calculated values
The total magnetization is 0.00 μB/f.u. For the density of states at the Fermi level, the calculation gives 1.012 states/eV per atom. Its formation energy is 0.2010 eV/atom.

---

5.
Crystalline LaRe2Os at its relaxed geometry, computed with PBE-GGA.

Lattice parameters (Å, degrees): 6.131 6.131 6.131 101.86 101.86 126.09
Sites, in units of the cell vectors:
La  0.000  0.000  0.000
La  0.750  0.250  0.500
Re  0.186  0.625  0.061
Re  0.375  0.436  0.561
Re  0.564  0.125  0.939
Re  0.875  0.814  0.439
Os  0.250  0.750  0.500
Os  0.500  0.500  0.000

Calculated values
The total magnetization is 0.00 μB/f.u. For the density of states at the Fermi level, the calculation gives 1.553 states/eV per atom. Its formation energy is 0.8601 eV/atom.

---

6.
Crystalline La2ReOs at its relaxed geometry, computed with PBE-GGA.

Lattice parameters (Å, degrees): 5.792 5.792 5.792 137.31 137.31 61.97
Sites, in units of the cell vectors:
La  0.000  0.000  0.000
La  0.750  0.250  0.500
Re  0.500  0.500  0.000
Os  0.250  0.750  0.500

Calculated values
The total magnetization is 0.32 μB/f.u. For the density of states at the Fermi level, the calculation gives 1.504 states/eV per atom. Its formation energy is 0.6499 eV/atom.

---

What did the fourth record say?
Crystalline La2ReOs at its relaxed geometry, computed with PBE-GGA.

Lattice parameters (Å, degrees): 5.641 5.641 5.641 136.73 125.44 72.06
Sites, in units of the cell vectors:
La  0.000  0.000  0.000
La  0.697  0.197  0.500
Re  0.413  0.413  0.000
Os  0.283  0.783  0.500

Calculated values
The total magnetization is 0.00 μB/f.u. For the density of states at the Fermi level, the calculation gives 1.012 states/eV per atom. Its formation energy is 0.2010 eV/atom.